A plane-wave DFT calculation with PBE was carried out for crystalline CrMoBr2 at its relaxed geometry.

Geometry as extended XYZ:
```
8
Lattice="-2.870 2.870 5.218 2.870 -2.870 5.218 2.870 2.870 -5.218" Properties=species:S:1:pos:R:3 pbc="T T T"
Cr 0.000 0.000 0.000
Cr 0.000 2.870 2.609
Mo 2.870 0.000 2.609
Mo 0.000 0.000 5.218
Br 4.305 1.304 -1.304
Br 1.304 1.435 1.304
Br -1.435 1.566 3.913
Br 1.566 1.435 6.522
```

Output
N(E_F) ... 12.46 states/eV per cell
Total energy ... -38.55 eV for the cell shown
Magnetization ... 0.00 μB/cell
Theoretical density ... 5944 kg/m3
Space-group type ... I-42d (122)